VASP calculation (GGA-PBE) on a relaxed structure of GdDyHo.

Computed properties:
- Raw total energy: -0.2841 Ha/atom

Cell: 3.5519 3.5519 8.6811 Å, 90.00 90.00 120.00°
Space group P3m1 (No. 156)
Symmetry-distinct sites (fractional):
Gd 0.0000 0.0000 0.0000 x1
Dy 0.3333 0.6667 0.6634 x1
Ho 0.6667 0.3333 0.3353 x1